No. 1
Ba3TlSi (PBEsol, relaxed); M_tot = 0.252 μB/atom; SG = Pm-3m (221); formation energy without anion corrections = 2.00 eV per formula unit; theoretical density = 4140 kg/m3
1.0
6.370 0.000 0.000
0.000 6.370 0.000
0.000 0.000 6.370
Ba Tl Si
3 1 1
Direct
0.000 0.000 0.500
0.000 0.500 0.000
0.500 0.000 0.000
0.000 0.000 0.000
0.500 0.500 0.500


No. 2
Ba2TlSi (PBEsol, relaxed); M_tot = 0.000 μB/atom; SG = I-4m2 (119); formation energy without anion corrections = -0.50 eV per formula unit; theoretical density = 6610 kg/m3
1.0
-2.458 2.458 5.271
2.458 -2.458 5.271
2.458 2.458 -5.271
Ba Tl Si
2 1 1
Direct
0.000 0.000 0.000
0.750 0.250 0.500
0.250 0.750 0.500
0.500 0.500 0.000


No. 3
BaTlSi2 (PBEsol, relaxed); energy above the lowest structure with this stoichiometry = 0.2180 eV per atom; M_tot = 0.000 μB/atom; SG = R-3m (166); formation energy without anion corrections = 0.22 eV per formula unit; theoretical density = 6141 kg/m3
1.0
2.351 1.358 5.617
-2.351 1.358 5.617
0.000 -2.715 5.617
Ba Tl Si
1 1 2
Direct
0.000 0.000 0.000
0.500 0.500 0.500
0.206 0.206 0.206
0.794 0.794 0.794


No. 4
Ba2TlSi (PBEsol, relaxed); M_tot = 0.000 μB/atom; SG = Amm2 (38); formation energy without anion corrections = -1.46 eV per formula unit; theoretical density = 5959 kg/m3
1.0
4.545 0.000 0.000
0.000 2.485 6.256
0.000 -2.485 6.256
Ba Tl Si
2 1 1
Direct
0.000 0.000 0.000
0.500 0.281 0.281
0.500 0.578 0.578
0.000 0.711 0.711


No. 5
BaTlSi2 (PBEsol, relaxed); energy above the lowest structure with this stoichiometry = 0.0000 eV per atom; M_tot = 0.000 μB/atom; SG = Imm2 (44); formation energy without anion corrections = -0.65 eV per formula unit; theoretical density = 6113 kg/m3
1.0
-1.939 2.358 5.912
1.939 -2.358 5.912
1.939 2.358 -5.912
Ba Tl Si
1 1 2
Direct
0.000 0.000 0.000
0.714 0.214 0.500
0.252 0.752 0.500
0.375 0.375 0.000


No. 6
BaTlSi2 (PBEsol, relaxed); energy above the lowest structure with this stoichiometry = 0.3910 eV per atom; M_tot = 0.000 μB/atom; SG = I4/mmm (139); formation energy without anion corrections = 0.91 eV per formula unit; theoretical density = 6431 kg/m3
1.0
-2.349 2.349 4.656
2.349 -2.349 4.656
2.349 2.349 -4.656
Ba Tl Si
1 1 2
Direct
0.000 0.000 0.000
0.500 0.500 0.000
0.250 0.750 0.500
0.750 0.250 0.500


No. 7
BaTlSi2 (PBEsol, relaxed); energy above the lowest structure with this stoichiometry = 0.1843 eV per atom; M_tot = 0.000 μB/atom; SG = P4/mmm (123); formation energy without anion corrections = 0.09 eV per formula unit; theoretical density = 6401 kg/m3
1.0
3.886 0.000 0.000
0.000 3.886 0.000
0.000 0.000 6.834
Ba Tl Si
1 1 2
Direct
0.000 0.000 0.000
0.000 0.000 0.500
0.500 0.500 0.328
0.500 0.500 0.672


No. 8
Ba2SiW (PBEsol, relaxed); M_tot = 0.000 μB/atom; SG = P4/mmm (123); formation energy without anion corrections = 3.85 eV per formula unit; theoretical density = 7815 kg/m3
1.0
3.153 0.000 0.000
0.000 3.153 0.000
0.000 0.000 10.399
Ba Si W
2 1 1
Direct
0.000 0.000 0.242
0.000 0.000 0.758
0.500 0.500 0.000
0.500 0.500 0.500